Model w:
# LaTe2Ru | the Alexandria database | PBE-GGA | relaxed
data_LaTe2Ru
_space_group_name_H-M_alt 'P 1'
_space_group_IT_number 1
_space_group_name_Hall 'P 1'
_cell_length_a 4.274
_cell_length_b 5.069
_cell_length_c 5.069
_cell_angle_alpha 74.09
_cell_angle_beta 90.00
_cell_angle_gamma 90.00
loop_
_atom_site_label
_atom_site_fract_x
_atom_site_fract_y
_atom_site_fract_z
La1 0.500 0.250 0.250
Ru1 0.500 0.750 0.750
Te1 0.000 0.947 0.947
Te2 0.000 0.553 0.553
# * symmetry: No. 65
# * crystal system: orthorhombic

***

Model x:
# LaTe2Ru | the Alexandria database | PBE-GGA | relaxed
data_LaTe2Ru
_space_group_name_H-M_alt 'P 1'
_space_group_IT_number 1
_space_group_name_Hall 'P 1'
_cell_length_a 3.975
_cell_length_b 3.975
_cell_length_c 6.615
_cell_angle_alpha 90.00
_cell_angle_beta 90.00
_cell_angle_gamma 90.00
loop_
_atom_site_label
_atom_site_fract_x
_atom_site_fract_y
_atom_site_fract_z
La1 0.000 0.000 0.469
Ru1 0.500 0.500 0.838
Te1 0.000 0.000 0.935
Te2 0.500 0.500 0.258
# * symmetry: No. 99
# * crystal system: tetragonal

***

It comes down to model w, which is 16.9 kJ/mol of atoms more stable than the next structure.

***

Model w:
# LaTe2Ru | the Alexandria database | PBE-GGA | relaxed
data_LaTe2Ru
_space_group_name_H-M_alt 'P 1'
_space_group_IT_number 1
_space_group_name_Hall 'P 1'
_cell_length_a 5.528
_cell_length_b 5.528
_cell_length_c 5.528
_cell_angle_alpha 135.16
_cell_angle_beta 114.91
_cell_angle_gamma 82.52
loop_
_atom_site_label
_atom_site_fract_x
_atom_site_fract_y
_atom_site_fract_z
La1 0.750 0.250 0.500
Ru1 0.250 0.750 0.500
Te1 0.056 0.056 0.000
Te2 0.444 0.444 0.000
# * symmetry: No. 71
# * crystal system: orthorhombic

***

Model x:
# LaTe2Ru | the Alexandria database | PBE-GGA | relaxed
data_LaTe2Ru
_space_group_name_H-M_alt 'P 1'
_space_group_IT_number 1
_space_group_name_Hall 'P 1'
_cell_length_a 3.565
_cell_length_b 3.566
_cell_length_c 7.555
_cell_angle_alpha 90.00
_cell_angle_beta 90.00
_cell_angle_gamma 90.00
loop_
_atom_site_label
_atom_site_fract_x
_atom_site_fract_y
_atom_site_fract_z
La1 0.500 0.500 0.250
Ru1 0.500 0.500 0.750
Te1 0.000 0.000 0.959
Te2 0.000 0.000 0.541
# * symmetry: No. 123
# * crystal system: tetragonal

***

Model y:
# LaTe2Ru | the Alexandria database | PBE-GGA | relaxed
data_LaTe2Ru
_space_group_name_H-M_alt 'P 1'
_space_group_IT_number 1
_space_group_name_Hall 'P 1'
_cell_length_a 4.402
_cell_length_b 4.402
_cell_length_c 6.597
_cell_angle_alpha 70.50
_cell_angle_beta 70.50
_cell_angle_gamma 59.99
loop_
_atom_site_label
_atom_site_fract_x
_atom_site_fract_y
_atom_site_fract_z
La1 0.750 0.750 0.750
Ru1 0.250 0.250 0.250
Te1 0.979 0.979 0.064
Te2 0.521 0.521 0.436
# * symmetry: No. 166
# * crystal system: trigonal

***

Model z:
# LaTe2Ru | the Alexandria database | PBE-GGA | relaxed
data_LaTe2Ru
_space_group_name_H-M_alt 'P 1'
_space_group_IT_number 1
_space_group_name_Hall 'P 1'
_cell_length_a 3.826
_cell_length_b 3.826
_cell_length_c 7.510
_cell_angle_alpha 90.00
_cell_angle_beta 90.00
_cell_angle_gamma 109.45
loop_
_atom_site_label
_atom_site_fract_x
_atom_site_fract_y
_atom_site_fract_z
La1 0.500 0.500 0.250
Ru1 0.500 0.500 0.750
Te1 0.000 0.000 0.962
Te2 0.000 0.000 0.538
# * symmetry: No. 65
# * crystal system: orthorhombic

***

It comes down to model y, which is 4.8 kJ/mol of atoms more stable than the next structure.

***

Model w:
# LaTe2Ru | the Alexandria database | PBE-GGA | relaxed
data_LaTe2Ru
_space_group_name_H-M_alt 'P 1'
_space_group_IT_number 1
_space_group_name_Hall 'P 1'
_cell_length_a 5.965
_cell_length_b 5.965
_cell_length_c 5.965
_cell_angle_alpha 136.61
_cell_angle_beta 136.61
_cell_angle_gamma 63.04
loop_
_atom_site_label
_atom_site_fract_x
_atom_site_fract_y
_atom_site_fract_z
La1 0.500 0.500 0.000
Ru1 0.750 0.250 0.500
Te1 0.000 0.000 0.000
Te2 0.250 0.750 0.500
# * symmetry: No. 119
# * crystal system: tetragonal

***

Model x:
# LaTe2Ru | the Alexandria database | PBE-GGA | relaxed
data_LaTe2Ru
_space_group_name_H-M_alt 'P 1'
_space_group_IT_number 1
_space_group_name_Hall 'P 1'
_cell_length_a 4.710
_cell_length_b 4.256
_cell_length_c 6.221
_cell_angle_alpha 69.15
_cell_angle_beta 90.00
_cell_angle_gamma 90.00
loop_
_atom_site_label
_atom_site_fract_x
_atom_site_fract_y
_atom_site_fract_z
La1 0.000 0.572 0.492
Ru1 0.500 0.914 0.766
Te1 0.000 0.852 0.923
Te2 0.500 0.163 0.318
# * symmetry: No. 6
# * crystal system: monoclinic

***

Model y:
# LaTe2Ru | the Alexandria database | PBE-GGA | relaxed
data_LaTe2Ru
_space_group_name_H-M_alt 'P 1'
_space_group_IT_number 1
_space_group_name_Hall 'P 1'
_cell_length_a 6.657
_cell_length_b 6.657
_cell_length_c 4.895
_cell_angle_alpha 65.27
_cell_angle_beta 65.27
_cell_angle_gamma 37.23
loop_
_atom_site_label
_atom_site_fract_x
_atom_site_fract_y
_atom_site_fract_z
La1 0.509 0.509 0.451
Ru1 0.330 0.330 0.346
Te1 0.942 0.942 0.006
Te2 0.719 0.719 0.697
# * symmetry: No. 8
# * crystal system: monoclinic

***

It comes down to model y, which is 6.6 kJ/mol of atoms more stable than the next structure.

***

Model w:
# LaTe2Ru2 | the Alexandria database | PBE-GGA | relaxed
data_LaTe2Ru2
_space_group_name_H-M_alt 'P 1'
_space_group_IT_number 1
_space_group_name_Hall 'P 1'
_cell_length_a 4.291
_cell_length_b 4.291
_cell_length_c 6.899
_cell_angle_alpha 71.88
_cell_angle_beta 71.88
_cell_angle_gamma 90.00
loop_
_atom_site_label
_atom_site_fract_x
_atom_site_fract_y
_atom_site_fract_z
Ru1 0.750 0.250 0.500
Ru2 0.250 0.750 0.500
Te1 0.367 0.367 0.265
Te2 0.633 0.633 0.735
La1 0.000 0.000 0.000
# * symmetry: No. 139
# * crystal system: tetragonal

***

Model x:
# LaTe2Ru2 | the Alexandria database | PBE-GGA | relaxed
data_LaTe2Ru2
_space_group_name_H-M_alt 'P 1'
_space_group_IT_number 1
_space_group_name_Hall 'P 1'
_cell_length_a 8.149
_cell_length_b 8.149
_cell_length_c 3.234
_cell_angle_alpha 90.00
_cell_angle_beta 90.00
_cell_angle_gamma 90.00
loop_
_atom_site_label
_atom_site_fract_x
_atom_site_fract_y
_atom_site_fract_z
Ru1 0.127 0.627 0.500
Ru2 0.627 0.873 0.500
Ru3 0.873 0.373 0.500
Ru4 0.373 0.127 0.500
Te1 0.353 0.853 0.000
Te2 0.853 0.647 0.000
Te3 0.647 0.147 0.000
Te4 0.147 0.353 0.000
La1 0.000 0.000 0.000
La2 0.500 0.500 0.000
# * symmetry: No. 127
# * crystal system: tetragonal

***

It comes down to model w, which is 42.9 kJ/mol of atoms more stable than the next structure.

***

Model w:
# LaThRu | the Alexandria database | PBE-GGA | relaxed
data_LaThRu
_space_group_name_H-M_alt 'P 1'
_space_group_IT_number 1
_space_group_name_Hall 'P 1'
_cell_length_a 5.107
_cell_length_b 5.107
_cell_length_c 6.583
_cell_angle_alpha 90.00
_cell_angle_beta 90.01
_cell_angle_gamma 90.01
loop_
_atom_site_label
_atom_site_fract_x
_atom_site_fract_y
_atom_site_fract_z
La1 0.813 0.866 0.527
La2 0.313 0.366 0.312
Th1 0.814 0.367 0.920
Th2 0.314 0.867 0.920
Ru1 0.814 0.867 0.109
Ru2 0.314 0.367 0.730
# * symmetry: No. 129
# * crystal system: tetragonal

***

Model x:
# LaThRu | the Alexandria database | PBE-GGA | relaxed
data_LaThRu
_space_group_name_H-M_alt 'P 1'
_space_group_IT_number 1
_space_group_name_Hall 'P 1'
_cell_length_a 4.953
_cell_length_b 4.953
_cell_length_c 4.953
_cell_angle_alpha 60.00
_cell_angle_beta 60.00
_cell_angle_gamma 60.00
loop_
_atom_site_label
_atom_site_fract_x
_atom_site_fract_y
_atom_site_fract_z
Ru1 0.250 0.250 0.250
Th1 0.500 0.500 0.500
La1 0.000 0.000 0.000
# * symmetry: No. 216
# * crystal system: cubic

***

It comes down to model w, which is 16.1 kJ/mol of atoms more stable than the next structure.

***

Model w:
# LaThRu | the Alexandria database | PBE-GGA | relaxed
data_LaThRu
_space_group_name_H-M_alt 'P 1'
_space_group_IT_number 1
_space_group_name_Hall 'P 1'
_cell_length_a 3.630
_cell_length_b 3.630
_cell_length_c 6.396
_cell_angle_alpha 106.48
_cell_angle_beta 106.48
_cell_angle_gamma 90.00
loop_
_atom_site_label
_atom_site_fract_x
_atom_site_fract_y
_atom_site_fract_z
Ru1 0.311 0.311 0.623
Th1 0.698 0.698 0.395
La1 0.991 0.991 0.982
# * symmetry: No. 107
# * crystal system: tetragonal

***

Model x:
# LaThRu | the Alexandria database | PBE-GGA | relaxed
data_LaThRu
_space_group_name_H-M_alt 'P 1'
_space_group_IT_number 1
_space_group_name_Hall 'P 1'
_cell_length_a 4.780
_cell_length_b 4.538
_cell_length_c 4.538
_cell_angle_alpha 120.00
_cell_angle_beta 90.00
_cell_angle_gamma 90.00
loop_
_atom_site_label
_atom_site_fract_x
_atom_site_fract_y
_atom_site_fract_z
Ru1 0.070 0.000 0.000
Th1 0.223 0.333 0.667
La1 0.708 0.667 0.333
# * symmetry: No. 156
# * crystal system: trigonal

***

It comes down to model w, which is 3.7 kJ/mol of atoms more stable than the next structure.

***

Model w:
# LaTh2Ru | the Alexandria database | PBE-GGA | relaxed
data_LaTh2Ru
_space_group_name_H-M_alt 'P 1'
_space_group_IT_number 1
_space_group_name_Hall 'P 1'
_cell_length_a 3.862
_cell_length_b 3.862
_cell_length_c 10.556
_cell_angle_alpha 79.46
_cell_angle_beta 79.46
_cell_angle_gamma 60.00
loop_
_atom_site_label
_atom_site_fract_x
_atom_site_fract_y
_atom_site_fract_z
Ru1 0.500 0.500 0.500
Th1 0.113 0.113 0.662
Th2 0.887 0.887 0.338
La1 0.000 0.000 0.000
# * symmetry: No. 166
# * crystal system: trigonal

***

Model x:
# LaTh2Ru | the Alexandria database | PBE-GGA | relaxed
data_LaTh2Ru
_space_group_name_H-M_alt 'P 1'
_space_group_IT_number 1
_space_group_name_Hall 'P 1'
_cell_length_a 6.499
_cell_length_b 7.281
_cell_length_c 9.886
_cell_angle_alpha 90.00
_cell_angle_beta 90.00
_cell_angle_gamma 90.00
loop_
_atom_site_label
_atom_site_fract_x
_atom_site_fract_y
_atom_site_fract_z
La1 0.644 0.538 0.250
La2 0.856 0.038 0.250
La3 0.356 0.462 0.750
La4 0.144 0.962 0.750
Th1 0.162 0.672 0.063
Th2 0.338 0.172 0.437
Th3 0.838 0.328 0.563
Th4 0.662 0.828 0.937
Th5 0.838 0.328 0.937
Th6 0.662 0.828 0.563
Th7 0.162 0.672 0.437
Th8 0.338 0.172 0.063
Ru1 0.120 0.388 0.250
Ru2 0.380 0.888 0.250
Ru3 0.880 0.612 0.750
Ru4 0.620 0.112 0.750
# * symmetry: No. 62
# * crystal system: orthorhombic

***

It comes down to model x, which is 28.2 kJ/mol of atoms more stable than the next structure.

***

Model w:
# LaTh2Ru | the Alexandria database | PBE-GGA | relaxed
data_LaTh2Ru
_space_group_name_H-M_alt 'P 1'
_space_group_IT_number 1
_space_group_name_Hall 'P 1'
_cell_length_a 3.997
_cell_length_b 3.997
_cell_length_c 9.459
_cell_angle_alpha 77.80
_cell_angle_beta 77.80
_cell_angle_gamma 60.00
loop_
_atom_site_label
_atom_site_fract_x
_atom_site_fract_y
_atom_site_fract_z
La1 0.501 0.501 0.498
Th1 0.058 0.058 0.825
Th2 0.275 0.275 0.174
Ru1 0.666 0.666 0.003
# * symmetry: No. 160
# * crystal system: trigonal

***

Model x:
# LaTh2Ru | the Alexandria database | PBE-GGA | relaxed
data_LaTh2Ru
_space_group_name_H-M_alt 'P 1'
_space_group_IT_number 1
_space_group_name_Hall 'P 1'
_cell_length_a 3.645
_cell_length_b 3.645
_cell_length_c 8.342
_cell_angle_alpha 90.00
_cell_angle_beta 90.00
_cell_angle_gamma 90.00
loop_
_atom_site_label
_atom_site_fract_x
_atom_site_fract_y
_atom_site_fract_z
Ru1 0.500 0.500 0.000
Th1 0.000 0.000 0.803
Th2 0.000 0.000 0.197
La1 0.500 0.500 0.500
# * symmetry: No. 123
# * crystal system: tetragonal

***

It comes down to model w, which is 5.7 kJ/mol of atoms more stable than the next structure.

***

Model w:
# LaTi2Ru | the Alexandria database | PBE-GGA | relaxed
data_LaTi2Ru
_space_group_name_H-M_alt 'P 1'
_space_group_IT_number 1
_space_group_name_Hall 'P 1'
_cell_length_a 4.723
_cell_length_b 4.723
_cell_length_c 9.474
_cell_angle_alpha 75.57
_cell_angle_beta 75.57
_cell_angle_gamma 90.00
loop_
_atom_site_label
_atom_site_fract_x
_atom_site_fract_y
_atom_site_fract_z
Ru1 0.500 0.500 0.000
Ru2 0.250 0.750 0.500
Ti1 0.375 0.125 0.250
Ti2 0.375 0.625 0.250
Ti3 0.375 0.625 0.750
Ti4 0.875 0.625 0.750
La1 0.000 0.000 0.000
La2 0.750 0.250 0.500
# * symmetry: No. 141
# * crystal system: tetragonal

***

Model x:
# LaTi2Ru | the Alexandria database | PBE-GGA | relaxed
data_LaTi2Ru
_space_group_name_H-M_alt 'P 1'
_space_group_IT_number 1
_space_group_name_Hall 'P 1'
_cell_length_a 4.684
_cell_length_b 4.684
_cell_length_c 4.684
_cell_angle_alpha 60.00
_cell_angle_beta 60.00
_cell_angle_gamma 60.00
loop_
_atom_site_label
_atom_site_fract_x
_atom_site_fract_y
_atom_site_fract_z
Ru1 0.000 0.000 0.000
Ti1 0.250 0.250 0.250
Ti2 0.750 0.750 0.750
La1 0.500 0.500 0.500
# * symmetry: No. 225
# * crystal system: cubic

***

It comes down to model x, which is 42.1 kJ/mol of atoms more stable than the next structure.

***

Model w:
# LaTiRu3 | the Alexandria database | PBE-GGA | relaxed
data_LaTiRu3
_space_group_name_H-M_alt 'P 1'
_space_group_IT_number 1
_space_group_name_Hall 'P 1'
_cell_length_a 4.634
_cell_length_b 4.634
_cell_length_c 4.634
_cell_angle_alpha 90.00
_cell_angle_beta 90.00
_cell_angle_gamma 90.00
loop_
_atom_site_label
_atom_site_fract_x
_atom_site_fract_y
_atom_site_fract_z
Ru1 0.000 0.500 0.000
Ru2 0.000 0.000 0.500
Ru3 0.500 0.000 0.000
Ti1 0.000 0.000 0.000
La1 0.500 0.500 0.500
# * symmetry: No. 221
# * crystal system: cubic

***

Model x:
# LaTiRu3 | the Alexandria database | PBE-GGA | relaxed
data_LaTiRu3
_space_group_name_H-M_alt 'P 1'
_space_group_IT_number 1
_space_group_name_Hall 'P 1'
_cell_length_a 4.737
_cell_length_b 4.737
_cell_length_c 4.737
_cell_angle_alpha 90.00
_cell_angle_beta 90.00
_cell_angle_gamma 90.00
loop_
_atom_site_label
_atom_site_fract_x
_atom_site_fract_y
_atom_site_fract_z
Ru1 0.000 0.500 0.000
Ru2 0.000 0.000 0.500
Ru3 0.500 0.000 0.000
Ti1 0.500 0.500 0.500
La1 0.000 0.000 0.000
# * symmetry: No. 221
# * crystal system: cubic

***

It comes down to model w, which is 128.5 kJ/mol of atoms more stable than the next structure.

***

Model w:
# La2TlRu | the Alexandria database | PBE-GGA | relaxed
data_La2TlRu
_space_group_name_H-M_alt 'P 1'
_space_group_IT_number 1
_space_group_name_Hall 'P 1'
_cell_length_a 3.642
_cell_length_b 3.642
_cell_length_c 7.556
_cell_angle_alpha 90.00
_cell_angle_beta 90.00
_cell_angle_gamma 90.00
loop_
_atom_site_label
_atom_site_fract_x
_atom_site_fract_y
_atom_site_fract_z
La1 0.000 0.000 0.999
La2 0.500 0.500 0.293
Ru1 0.000 0.000 0.497
Tl1 0.500 0.500 0.711
# * symmetry: No. 99
# * crystal system: tetragonal

***

Model x:
# La2TlRu | the Alexandria database | PBE-GGA | relaxed
data_La2TlRu
_space_group_name_H-M_alt 'P 1'
_space_group_IT_number 1
_space_group_name_Hall 'P 1'
_cell_length_a 5.143
_cell_length_b 5.143
_cell_length_c 5.143
_cell_angle_alpha 120.16
_cell_angle_beta 120.16
_cell_angle_gamma 89.73
loop_
_atom_site_label
_atom_site_fract_x
_atom_site_fract_y
_atom_site_fract_z
La1 0.000 0.000 0.000
La2 0.250 0.750 0.500
Ru1 0.500 0.500 0.000
Tl1 0.750 0.250 0.500
# * symmetry: No. 119
# * crystal system: tetragonal

***

It comes down to model x, which is 11.3 kJ/mol of atoms more stable than the next structure.